{"formula": "BPIN2", "functional": "SCAN", "state": "single point on PBEsol structure", "magnetic_moment_mub_per_fu": 1.02, "crystal_system": "tetragonal", "e_above_lowest_polymorph_ev_per_atom": 0.000, "dos_at_fermi_per_ev_cell": 1.91, "e_tot_ev_per_atom": -13.246, "density_g_cm3": 4.24, "formation_energy_uncorrected_ev_per_atom": 1.3846, "lattice_angstrom": [[3.3222, 0.0000, 0.0000], [0.0000, 3.3222, 0.0000], [0.0000, 0.0000, 6.9828]], "species": ["B", "P", "I", "N", "N"], "frac_coords": [[0.0000, 0.0000, 0.0000], [0.5000, 0.5000, 0.5000], [0.5000, 0.5000, 0.0000], [0.0000, 0.5000, 0.5000], [0.5000, 0.0000, 0.5000]]}